[1]
## IrC (PBEsol)

Data for a relaxed IrC crystal.

Cell and atoms, written as POSCAR:
```
IrC
1.0
3.313 0.000 0.000
-1.656 2.869 0.000
0.000 0.000 5.545
C Ir
2 2
direct
0.333 0.667 0.250 C
0.667 0.333 0.750 C
0.000 0.000 0.750 Ir
0.000 0.000 0.250 Ir
```

Properties
N(E_F) ... 1.2 states/eV per cell
Energy of formation ... 863.1 meV per atom

***

[2]
## ZrTeMoI2 (PBEsol)

Data for a relaxed ZrTeMoI2 crystal.

Cell and atoms, written as POSCAR:
```
ZrTeMoI2
1.0
-3.505 3.152 2.981
0.271 -3.671 4.200
4.336 2.785 2.154
Te Zr I Mo
1 1 2 1
direct
0.500 0.000 0.000 Te
0.000 0.000 0.000 Zr
0.000 0.500 0.000 I
0.000 0.000 0.500 I
0.500 0.500 0.500 Mo
```

Properties
N(E_F) ... 2.3 states/eV per cell
Formation energy (no corrections) ... 0.6832 eV per atom

***

[3]
## AlZnCu2 (PBEsol)

Data for a relaxed AlZnCu2 crystal.

Cell and atoms, written as POSCAR:
```
AlZnCu2
1.0
-1.458 -1.559 -1.618
1.159 -2.033 -1.303
-1.761 -6.185 5.331
Al Cu Zn
1 2 1
direct
0.000 0.000 0.000 Al
0.250 0.250 0.249 Cu
0.750 0.750 0.751 Cu
0.500 0.500 0.500 Zn
```

Properties
N(E_F) ... 1.3 states/eV per cell
Energy of formation ... -84.6 meV per atom